# 1
YAgHg | meta-GGA SCAN | single point on PBEsol structure

Cell lengths 6.6513, 6.6513, 6.6513 Å; angles 90.00, 90.00, 90.00 degrees
Atoms (fractional coordinates):
Y: 0.0000 0.0000 0.0000
Y: 0.0000 0.5000 0.5000
Y: 0.5000 0.0000 0.5000
Y: 0.5000 0.5000 0.0000
Ag: 0.2500 0.2500 0.7500
Ag: 0.2500 0.7500 0.2500
Ag: 0.7500 0.2500 0.2500
Ag: 0.7500 0.7500 0.7500
Hg: 0.0000 0.0000 0.5000
Hg: 0.0000 0.5000 0.0000
Hg: 0.5000 0.0000 0.0000
Hg: 0.5000 0.5000 0.5000

Output
Mass density ... 9.0 g cm⁻³
Density of states at the Fermi level ... 12.477 states/eV/cell

---

# 2
Ca5Zr | meta-GGA SCAN | single point on PBEsol structure

Cell lengths 13.7214, 3.6433, 8.7830 Å; angles 90.00, 106.51, 90.00 degrees
Atoms (fractional coordinates):
Ca: 0.0000 0.0000 0.0000
Ca: 0.0420 0.0000 0.6219
Ca: 0.1618 0.5000 0.3300
Ca: 0.3108 0.0000 0.7004
Ca: 0.3690 0.0000 0.2463
Ca: 0.5000 0.5000 0.0000
Ca: 0.5420 0.5000 0.6219
Ca: 0.6618 0.0000 0.3300
Ca: 0.8108 0.5000 0.7004
Ca: 0.8690 0.5000 0.2463
Zr: 0.2027 0.5000 0.9463
Zr: 0.7027 0.0000 0.9463

Output
Mass density ... 2.3 g cm⁻³
Density of states at the Fermi level ... 9.730 states/eV/cell

---

no.,VASP energy (eV for the cell shown)
1,-513.3
2,-155.2